Cs3Pm2MnTe6, optimized geometry, DFT GGA-PBE; space group = No. 12; calculated volume = 476.7 Å³ per cell; uncorrected energy = -52.7 eV per formula unit; calculated density = 5.26 Mg/m³
1.0
4.003 -6.714 0.000
4.003 6.714 0.000
-2.803 0.000 8.869
Cs Pm Mn Te
3 2 1 6
direct
0.000 0.000 0.000
0.323 0.677 0.000
0.677 0.323 0.000
0.162 0.838 0.500
0.838 0.162 0.500
0.500 0.500 0.500
0.143 0.443 0.324
0.240 0.240 0.704
0.443 0.143 0.324
0.557 0.857 0.676
0.760 0.760 0.296
0.857 0.557 0.676

=====

Ag2OF, optimized geometry, DFT GGA-PBE; ΔE to the lowest computed polymorph = 0.20 eV/f.u.; space group = No. 160; calculated volume = 172.7 Å³ per cell; uncorrected energy = -14.1 eV per formula unit; calculated density = 7.23 Mg/m³
1.0
3.312 0.000 0.000
-1.656 2.869 0.000
0.000 0.000 18.172
Ag O F
6 3 3
direct
0.000 0.000 0.000
0.000 0.000 0.182
0.333 0.667 0.667
0.333 0.667 0.849
0.667 0.333 0.333
0.667 0.333 0.515
0.000 0.000 0.588
0.333 0.667 0.255
0.667 0.333 0.922
0.000 0.000 0.761
0.333 0.667 0.428
0.667 0.333 0.095

=====

RbBePb, optimized geometry, DFT GGA-PBE; ΔE to the lowest computed polymorph = 0.00 eV/f.u.; space group = No. 2; calculated volume = 191.7 Å³ per cell; uncorrected energy = -8.0 eV per formula unit; formation energy from the elements = 0.4 eV/f.u.; calculated density = 5.23 Mg/m³
1.0
4.046 0.000 0.000
-2.017 6.724 0.000
-0.007 -0.710 7.046
Rb Be Pb
2 2 2
direct
0.115 0.229 0.356
0.885 0.771 0.644
0.226 0.453 0.957
0.774 0.547 0.043
0.396 0.791 0.153
0.604 0.209 0.847

=====

InTe2P, optimized geometry, DFT GGA-PBE; ΔE to the lowest computed polymorph = 0.62 eV/f.u.; space group = No. 166; calculated volume = 363.0 Å³ per cell; uncorrected energy = -13.7 eV per formula unit; calculated density = 5.50 Mg/m³
1.0
3.750 0.000 0.000
-1.875 3.248 0.000
0.000 0.000 29.809
In Te P
3 6 3
direct
0.000 0.000 0.000
0.333 0.667 0.667
0.667 0.333 0.333
0.000 0.000 0.110
0.000 0.000 0.890
0.333 0.667 0.557
0.333 0.667 0.776
0.667 0.333 0.224
0.667 0.333 0.443
0.000 0.000 0.500
0.333 0.667 0.167
0.667 0.333 0.833

=====

AlZnW, optimized geometry, DFT GGA-PBE; ΔE to the lowest computed polymorph = 0.21 eV/f.u.; space group = No. 107; calculated volume = 92.5 Å³ per cell; uncorrected energy = -17.4 eV per formula unit; formation energy from the elements = 0.6 eV/f.u.; calculated density = 9.92 Mg/m³
1.0
2.720 0.000 0.000
0.000 2.720 0.000
0.000 0.000 12.500
Al Zn W
2 2 2
direct
0.000 0.000 0.000
0.500 0.500 0.500
0.000 0.000 0.333
0.500 0.500 0.833
0.000 0.000 0.664
0.500 0.500 0.164

=====

Si3Tc, optimized geometry, DFT GGA-PBE; ΔE to the lowest computed polymorph = 0.00 eV/f.u.; space group = No. 44; calculated volume = 118.5 Å³ per cell; uncorrected energy = -27.4 eV per formula unit; calculated density = 5.11 Mg/m³
1.0
3.005 0.000 0.000
0.000 7.260 0.000
0.000 0.000 5.434
Si Tc
6 2
direct
0.000 0.000 0.000
0.000 0.186 0.367
0.000 0.814 0.367
0.500 0.314 0.867
0.500 0.500 0.500
0.500 0.686 0.867
0.000 0.500 0.152
0.500 0.000 0.652

=====

ThTiNi3, optimized geometry, DFT GGA-PBE; space group = No. 63; calculated volume = 166.2 Å³ per cell; uncorrected energy = -34.4 eV per formula unit; formation energy from the elements = -1.7 eV/f.u.; calculated density = 9.11 Mg/m³
1.0
1.748 -11.984 0.000
1.748 11.984 0.000
0.000 0.000 3.968
Th Ti Ni
2 2 6
direct
0.079 0.921 0.750
0.921 0.079 0.250
0.211 0.789 0.250
0.789 0.211 0.750
0.309 0.691 0.250
0.366 0.634 0.750
0.470 0.530 0.750
0.530 0.470 0.250
0.634 0.366 0.250
0.691 0.309 0.750

=====

TaGaSbI2, optimized geometry, DFT GGA-PBE; ΔE to the lowest computed polymorph = 4.02 eV/f.u.; space group = No. 123; calculated volume = 156.9 Å³ per cell; uncorrected energy = -16.2 eV per formula unit; calculated density = 6.63 Mg/m³
1.0
5.390 0.000 0.000
0.000 5.390 0.000
0.000 0.000 5.401
Ta Ga Sb I
1 1 1 2
direct
0.000 0.000 0.000
0.500 0.500 0.500
0.500 0.500 0.000
0.000 0.500 0.500
0.500 0.000 0.500

=====

NaTiS2Cl, optimized geometry, DFT GGA-PBE; ΔE to the lowest computed polymorph = 0.00 eV/f.u.; space group = No. 123; calculated volume = 110.8 Å³ per cell; uncorrected energy = -25.1 eV per formula unit; calculated density = 2.55 Mg/m³
1.0
4.711 0.000 0.000
0.000 4.711 0.000
0.000 0.000 4.992
Na Ti S Cl
1 1 2 1
direct
0.000 0.000 0.000
0.500 0.500 0.500
0.000 0.500 0.500
0.500 0.000 0.500
0.500 0.500 0.000

=====

HfZrOs, optimized geometry, DFT GGA-PBE; ΔE to the lowest computed polymorph = 0.00 eV/f.u.; space group = No. 107; calculated volume = 114.3 Å³ per cell; uncorrected energy = -30.8 eV per formula unit; formation energy from the elements = -1.1 eV/f.u.; calculated density = 13.37 Mg/m³
1.0
3.289 0.000 0.000
0.000 3.289 0.000
0.000 0.000 10.564
Hf Zr Os
2 2 2
direct
0.000 0.000 0.000
0.500 0.500 0.500
0.000 0.000 0.305
0.500 0.500 0.805
0.000 0.000 0.648
0.500 0.500 0.148

=====

CrNi3, optimized geometry, DFT GGA-PBE; space group = No. 25; calculated volume = 43.9 Å³ per cell; uncorrected energy = -26.8 eV per formula unit; formation energy from the elements = 0.2 eV/f.u.; calculated density = 8.63 Mg/m³
1.0
2.471 0.000 0.000
0.000 4.061 0.000
0.000 0.000 4.374
Cr Ni
1 3
direct
0.000 0.000 0.000
0.000 0.500 0.685
0.500 0.000 0.502
0.500 0.500 0.184

=====

V5Ge2N, optimized geometry, DFT GGA-PBE; space group = No. 63; calculated volume = 252.4 Å³ per cell; uncorrected energy = -63.3 eV per formula unit; calculated density = 5.45 Mg/m³
1.0
2.027 -6.471 0.000
2.027 6.471 0.000
0.000 0.000 9.620
V Ge N
10 4 2
direct
0.085 0.915 0.625
0.085 0.915 0.875
0.276 0.724 0.565
0.276 0.724 0.935
0.291 0.709 0.250
0.709 0.291 0.750
0.724 0.276 0.065
0.724 0.276 0.435
0.915 0.085 0.125
0.915 0.085 0.375
0.111 0.889 0.122
0.111 0.889 0.378
0.889 0.111 0.622
0.889 0.111 0.878
0.207 0.793 0.750
0.793 0.207 0.250